(1)
First-principles (PBE-GGA) data for a geometry-optimized PuH2Ru structure, as listed in the Alexandria database.

a = 5.260 Å, b = 6.469 Å, c = 5.316 Å
α = 90.00°, β = 105.15°, γ = 90.00°
Space group P2_1/c (No. 14)
Unique sites:
1 Pu 0.240 0.127 0.498
2 H 0.104 0.678 0.759
3 H 0.478 0.073 0.178
4 Ru 0.267 0.628 0.496

Magnetic moment in μB per formula unit: 4.79
Energy relative to the lowest polymorph listed for this composition in meV/atom: 0


(2)
First-principles (PBE-GGA) data for a geometry-optimized PuH10Ru3 structure, as listed in the Alexandria database.

a = 9.316 Å, b = 9.316 Å, c = 9.316 Å
α = 90.00°, β = 90.00°, γ = 90.00°
Space group Fm-3m (No. 225)
Unique sites:
1 Pu 0.250 0.250 0.250
2 H 0.000 0.167 0.167
3 H 0.107 0.107 0.393
4 Ru 0.000 0.000 0.263

Magnetic moment in μB per formula unit: 5.19
E_tot in eV per atom: -5.431


(3)
First-principles (PBE-GGA) data for a geometry-optimized Pu2H4Ru structure, as listed in the Alexandria database.

a = 4.030 Å, b = 5.066 Å, c = 7.898 Å
α = 90.00°, β = 90.06°, γ = 90.00°
Space group P2_1/m (No. 11)
Unique sites:
1 Pu 0.249 0.250 0.124
2 Pu 0.250 0.750 0.484
3 H 0.250 0.250 0.403
4 H 0.251 0.582 0.764
5 H 0.251 0.750 0.180
6 Ru 0.252 0.250 0.805

Magnetic moment in μB per formula unit: 0.74
E_tot in eV per atom: -7.552


(4)
First-principles (PBE-GGA) data for a geometry-optimized PuH2Ru structure, as listed in the Alexandria database.

a = 3.9699 Å, b = 3.9699 Å, c = 10.8151 Å
α = 90.00°, β = 90.00°, γ = 120.00°
Space group R-3m (No. 166, hexagonal axes)
Unique sites:
1 Pu 0.0000 0.0000 0.0000
2 H 0.0000 0.0000 0.3402
3 Ru 0.0000 0.0000 0.5000

Magnetic moment in μB per formula unit: 3.98
Energy relative to the lowest polymorph listed for this composition in meV/atom: 92


(5)
First-principles (PBE-GGA) data for a geometry-optimized Pu2H5Ru structure, as listed in the Alexandria database.

a = 4.955 Å, b = 4.955 Å, c = 7.381 Å
α = 90.00°, β = 90.00°, γ = 90.00°
Space group I4mm (No. 107)
Unique sites:
1 Pu 0.000 0.500 0.000
2 H 0.000 0.000 0.005
3 H 0.249 0.249 0.258
4 Ru 0.000 0.000 0.256

Magnetic moment in μB per formula unit: 11.01
E_tot in eV per atom: -7.148


(6)
First-principles (PBE-GGA) data for a geometry-optimized PuH4Ru structure, as listed in the Alexandria database.

a = 6.043 Å, b = 4.359 Å, c = 4.473 Å
α = 90.00°, β = 108.04°, γ = 90.00°
Space group C2/m (No. 12)
Unique sites:
1 Pu 0.000 0.000 0.000
2 H 0.113 0.500 0.900
3 H 0.250 0.250 0.500
4 Ru 0.000 0.500 0.500

Magnetic moment in μB per formula unit: 5.29
Energy relative to the lowest polymorph listed for this composition in meV/atom: 7


(7)
First-principles (PBE-GGA) data for a geometry-optimized PuH4Ru structure, as listed in the Alexandria database.

a = 4.791 Å, b = 10.413 Å, c = 4.445 Å
α = 90.00°, β = 90.00°, γ = 90.00°
Space group Cmcm (No. 63)
Unique sites:
1 Pu 0.000 0.133 0.250
2 H 0.000 0.318 0.531
3 H 0.149 0.081 0.750
4 Ru 0.000 0.430 0.250

Magnetic moment in μB per formula unit: 4.83
Energy relative to the lowest polymorph listed for this composition in meV/atom: 0


(8)
First-principles (PBE-GGA) data for a geometry-optimized PuH5Ru structure, as listed in the Alexandria database.

a = 7.573 Å, b = 4.811 Å, c = 3.703 Å
α = 90.00°, β = 119.17°, γ = 90.00°
Space group C2/m (No. 12)
Unique sites:
1 Pu 0.000 0.000 0.000
2 H 0.000 0.500 0.000
3 H 0.172 0.235 0.671
4 Ru 0.000 0.500 0.500

Magnetic moment in μB per formula unit: 4.67
E_tot in eV per atom: -5.991


(9)
First-principles (PBE-GGA) data for a geometry-optimized Pu2Sb2HRu2 structure, as listed in the Alexandria database.

a = 4.275 Å, b = 4.275 Å, c = 14.748 Å
α = 90.00°, β = 90.00°, γ = 90.00°
Space group I4/mmm (No. 139)
Unique sites:
1 Pu 0.000 0.000 0.166
2 Sb 0.000 0.000 0.385
3 H 0.000 0.000 0.000
4 Ru 0.000 0.500 0.000

Magnetic moment in μB per formula unit: 11.78
E_tot in eV per atom: -8.740


(10)
First-principles (PBE-GGA) data for a geometry-optimized PuSbHRu structure, as listed in the Alexandria database.

a = 4.288 Å, b = 4.288 Å, c = 7.434 Å
α = 90.00°, β = 90.00°, γ = 90.00°
Space group P4/nmm (No. 129, origin choice 2)
Unique sites:
1 Pu 0.250 0.250 0.146
2 Sb 0.250 0.250 0.699
3 H 0.250 0.750 0.000
4 Ru 0.250 0.750 0.500

Magnetic moment in μB per formula unit: 5.50
E_tot in eV per atom: -8.193


(11)
First-principles (PBE-GGA) data for a geometry-optimized Pu2SnH12Ru3 structure, as listed in the Alexandria database.

a = 6.3804 Å, b = 6.3804 Å, c = 13.9912 Å
α = 90.00°, β = 90.00°, γ = 120.00°
Space group R-3m (No. 166, hexagonal axes)
Unique sites:
1 Pu 0.0000 0.0000 0.1046
2 Sn 0.0000 0.0000 0.5000
3 H 0.0236 0.5118 0.3363
4 H 0.0587 0.5294 0.8813
5 Ru 0.0000 0.5000 0.0000

Magnetic moment in μB per formula unit: 11.84
E_tot in eV per atom: -5.627


(12)
First-principles (PBE-GGA) data for a geometry-optimized Pu2ZnH6Ru structure, as listed in the Alexandria database.

a = 7.455 Å, b = 7.470 Å, c = 7.501 Å
α = 90.00°, β = 90.00°, γ = 90.00°
Space group Fmmm (No. 69)
Unique sites:
1 Pu 0.250 0.250 0.250
2 Zn 0.000 0.000 0.000
3 H 0.000 0.000 0.266
4 H 0.000 0.235 0.500
5 H 0.235 0.000 0.500
6 Ru 0.000 0.000 0.500

Magnetic moment in μB per formula unit: 12.03
E_tot in eV per atom: -6.143